No. 1
Below is an optimized crystal structure of MoAuO2, with properties calculated at the PBE with a Hubbard U level.

extended XYZ file:
```
4
Lattice="0.000 2.933 2.933 2.933 0.000 2.933 2.933 2.933 0.000" Properties=species:S:1:pos:R:3 pbc="T T T"
Mo 0.000 0.000 0.000
Au 2.933 2.933 2.933
O 4.400 4.400 4.400
O 1.467 1.467 1.467
```

## Properties
E_tot: -4.928 eV per atom
Energy above the lowest structure with this stoichiometry: 609 meV per atom
Space-group type: No. 225

No. 2
Below is an optimized crystal structure of MoAuO2, with properties calculated at the PBE with a Hubbard U level.

extended XYZ file:
```
8
Lattice="-1.661 1.337 -5.346 4.983 -2.020 -2.053 -0.180 -4.426 -4.149" Properties=species:S:1:pos:R:3 pbc="T T T"
O 2.082 -3.638 -9.303
O 2.632 -2.017 -3.728
O 1.800 -3.855 -6.171
Au -0.090 -1.715 -6.598
Au 0.000 0.000 0.000
O -0.231 -0.708 -3.896
Mo 1.661 -0.341 -3.700
Mo 3.232 -3.394 -4.951
```

## Properties
E_tot: -5.537 eV per atom
Energy above the lowest structure with this stoichiometry: 0 meV per atom
Space-group type: No. 122

No. 3
Below is an optimized crystal structure of MoAuO2, with properties calculated at the PBE with a Hubbard U level.

extended XYZ file:
```
4
Lattice="1.701 0.000 7.442 -0.850 1.473 7.442 -0.850 -1.473 7.442" Properties=species:S:1:pos:R:3 pbc="T T T"
Au 0.000 0.000 11.162
O 0.000 0.000 20.507
O 0.000 0.000 1.818
Mo 0.000 0.000 0.000
```

## Properties
E_tot: -4.998 eV per atom
Energy above the lowest structure with this stoichiometry: 539 meV per atom
Space-group type: No. 166

No. 4
Below is an optimized crystal structure of MoP2AuO, with properties calculated at the PBE with a Hubbard U level.

extended XYZ file:
```
5
Lattice="-4.793 -0.827 -0.093 0.737 -3.962 -2.725 0.300 -2.089 3.119" Properties=species:S:1:pos:R:3 pbc="T T T"
Au -1.878 -3.439 0.150
P 0.368 -1.981 -1.363
Mo 0.000 0.000 0.000
P -2.397 -0.413 -0.047
O 0.150 -1.045 1.559
```

## Properties
E_tot: -5.028 eV per atom
Energy above the lowest structure with this stoichiometry: 0 meV per atom
Space-group type: No. 123

Question: The highest energy above the lowest structure with this stoichiometry belongs to which entry?
Answer: number 1